(1)
RbSnPbBr5: optimized geometry, PBE.

```
RbSnPbBr5
1.0
-4.371 2.792 -6.282
6.658 -1.755 -4.353
-4.910 -9.958 4.597
Rb Sn Pb Br
2 2 2 10
Direct
0.331 0.669 0.250
0.669 0.331 0.750
0.747 0.253 0.250
0.253 0.747 0.750
0.000 0.000 0.500
0.000 0.000 0.000
0.036 0.964 0.250
0.964 0.036 0.750
0.890 0.356 0.081
0.110 0.644 0.919
0.644 0.110 0.419
0.356 0.890 0.581
0.778 0.610 0.414
0.222 0.390 0.586
0.390 0.222 0.086
0.610 0.778 0.914
```

Summary:
Space-group type: C2/c (15)
E_form (uncorrected) in eV per atom: -1.06

(2)
YZnFe2: optimized geometry, PBE.

```
YZnFe2
1.0
-1.083 6.756 -5.013
-3.839 5.312 -5.384
-3.380 7.206 -2.930
Fe Y Zn
2 1 1
Direct
0.996 0.996 0.996
0.264 0.264 0.264
0.503 0.503 0.503
0.737 0.737 0.737
```

Summary:
Space-group type: R3m (160)
Formation energy from the elements in meV/atom: 362

(3)
InFePb4: optimized geometry, PBE.

```
InFePb4
1.0
0.741 -3.183 5.535
0.667 3.244 5.508
-4.736 -0.037 4.345
In Fe Pb
1 1 4
Direct
0.000 0.000 0.000
0.750 0.750 0.750
0.874 0.375 0.375
0.375 0.375 0.874
0.375 0.874 0.375
0.375 0.375 0.375
```

Summary:
Space-group type: F-43m (216)
Formation energy from the elements in meV/atom: 642

(4)
BeHg2As: optimized geometry, PBE.

```
BeHg2As
1.0
-3.328 -1.296 -0.582
0.409 -2.021 2.163
-2.970 5.195 5.416
Be As Hg
1 1 2
Direct
0.500 0.500 0.578
0.000 0.000 0.649
0.000 0.000 0.995
0.500 0.500 0.278
```

Summary:
Space-group type: Pmm2 (25)
Formation energy from the elements in meV/atom: 202
Relative energy among the computed polymorphs in meV per atom: 143

(5)
CoRePtRh2: optimized geometry, PBE.

```
CoRePtRh2
1.0
-3.621 -2.907 0.396
3.026 -3.751 0.132
0.229 0.348 4.642
Re Rh Pt Co
1 2 1 1
Direct
0.000 0.000 0.000
0.000 0.000 0.500
0.500 0.000 0.000
0.000 0.500 0.000
0.500 0.500 0.500
```

Summary:
Space-group type: P4/mmm (123)
Formation energy from the elements in meV/atom: 1535

(6)
Pr6Ag2Os: optimized geometry, PBE.

```
Pr6Ag2Os
1.0
8.325 0.044 2.918
-4.385 7.163 2.696
-0.087 0.044 8.821
Pr Ag Os
12 4 2
Direct
0.165 0.754 0.081
0.835 0.246 0.919
0.165 0.246 0.589
0.835 0.754 0.411
0.451 0.269 0.818
0.549 0.731 0.182
0.087 0.269 0.182
0.913 0.731 0.818
0.336 0.061 0.275
0.664 0.939 0.725
0.336 0.611 0.725
0.664 0.389 0.275
0.136 0.636 0.500
0.864 0.364 0.500
0.355 0.000 0.645
0.645 0.000 0.355
0.500 0.500 0.000
0.000 0.000 0.000
```

Summary:
Space-group type: Immm (71)
Formation energy from the elements in meV/atom: -69
Relative energy among the computed polymorphs in meV per atom: 19

(7)
CsMnZn2I8: optimized geometry, PBE.

```
CsMnZn2I8
1.0
-2.525 3.711 5.593
-7.074 0.770 0.892
-3.459 -8.216 8.487
Cs Mn Zn I
1 1 2 8
Direct
0.500 0.500 0.500
0.000 0.000 0.000
0.263 0.263 0.210
0.737 0.737 0.790
0.189 0.189 0.433
0.646 0.278 0.143
0.811 0.811 0.567
0.934 0.646 0.143
0.066 0.354 0.857
0.278 0.934 0.143
0.722 0.066 0.857
0.354 0.722 0.857
```

Summary:
Space-group type: R-3 (148)
E_form (uncorrected) in eV per atom: -0.62

(8)
Sr3As2H: optimized geometry, PBE.

```
Sr3As2H
1.0
-3.869 4.944 -0.068
-6.422 -5.044 -1.341
2.614 -1.842 7.141
Sr As H
6 4 2
Direct
0.466 0.250 0.000
0.534 0.750 0.000
0.163 0.082 0.328
0.835 0.418 0.672
0.165 0.582 0.328
0.837 0.918 0.672
0.666 0.582 0.330
0.664 0.082 0.330
0.336 0.918 0.670
0.334 0.418 0.670
0.965 0.750 0.000
0.035 0.250 0.000
```

Summary:
Space-group type: C2/c (15)
Relative energy among the computed polymorphs in meV per atom: 65

(9)
NaCa2Si3O9: optimized geometry, PBE.

```
NaCa2Si3O9
1.0
-3.179 -1.337 -6.105
-6.174 -0.971 3.477
-0.138 8.087 0.287
Na Ca Si O
2 4 6 18
Direct
0.263 0.346 0.560
0.737 0.654 0.440
0.588 0.151 0.856
0.412 0.849 0.144
0.088 0.141 0.850
0.912 0.859 0.150
0.592 0.664 0.778
0.408 0.336 0.222
0.048 0.659 0.781
0.952 0.341 0.219
0.264 0.856 0.546
0.736 0.144 0.454
0.789 0.130 0.656
0.211 0.870 0.344
0.293 0.055 0.667
0.707 0.945 0.333
0.502 0.458 0.802
0.498 0.542 0.198
0.148 0.455 0.811
0.852 0.545 0.189
0.610 0.829 0.934
0.390 0.171 0.066
0.108 0.823 0.938
0.892 0.177 0.062
0.467 0.731 0.597
0.533 0.269 0.403
0.090 0.726 0.601
0.910 0.274 0.399
0.809 0.616 0.735
0.191 0.384 0.265
```

Summary:
Space-group type: P-1 (2)
E_form (uncorrected) in eV per atom: -2.71

(10)
RbZr3Re: optimized geometry, PBE.

```
RbZr3Re
1.0
5.260 0.000 0.000
0.000 5.260 0.000
0.000 0.000 5.260
Re Rb Zr
1 1 3
Direct
0.000 0.000 0.000
0.500 0.500 0.500
0.000 0.500 0.000
0.000 0.000 0.500
0.500 0.000 0.000
```

Summary:
Space-group type: Pm-3m (221)
Formation energy from the elements in meV/atom: 735
Relative energy among the computed polymorphs in meV per atom: 0

(11)
Pm5HgS4: optimized geometry, PBE.

```
Pm5HgS4
1.0
-3.955 -0.213 0.896
-1.292 -6.767 1.888
-0.010 0.215 9.210
Pm Hg S
5 1 4
Direct
0.204 0.904 0.688
0.796 0.096 0.312
0.387 0.334 0.892
0.000 0.500 0.500
0.613 0.666 0.108
0.000 0.000 0.000
0.597 0.206 0.600
0.203 0.385 0.208
0.797 0.615 0.792
0.403 0.794 0.400
```

Summary:
Space-group type: C2/m (12)
E_form (uncorrected) in eV per atom: -1.69

(12)
ZrTlW: optimized geometry, PBE.

```
ZrTlW
1.0
4.962 0.000 0.000
-2.481 4.297 0.000
0.000 0.000 2.868
Tl W Zr
1 1 1
Direct
0.000 0.000 0.081
0.667 0.333 0.279
0.333 0.667 0.640
```

Summary:
Space-group type: P3m1 (156)
Formation energy from the elements in meV/atom: 529
Relative energy among the computed polymorphs in meV per atom: 119